# CdInHg2Br PBE relaxed
# Raw total energy (eV per atom): -1.258
# E_form (uncorrected) (eV per atom): -0.072
# V (Å³ per atom): 35.831
# E above lowest polymorph (eV/atom): 0.0111
data_CdInHg2Br
_chemical_formula_sum 'Cd1 In1 Hg2 Br1'
_cell_length_a 5.520
_cell_length_b 5.520
_cell_length_c 5.880
_cell_angle_alpha 90.00
_cell_angle_beta 90.00
_cell_angle_gamma 90.00
_space_group_name_H-M_alt 'P 4/m m m'
_space_group_IT_number 123
_space_group_name_Hall '-P 4 2'
loop_
_atom_site_label
_atom_site_fract_x
_atom_site_fract_y
_atom_site_fract_z
Cd1 0.000 0.000 0.000
In1 0.000 0.000 0.500
Hg1 0.000 0.500 0.000
Br1 0.500 0.500 0.500